# PrHoAs2Pd5

A geometry-optimized PrHoAs2Pd5 structure (PBE, the Alexandria database).

```
PrHoAs2Pd5
1.0
-0.5326 2.7288 -3.2534
-0.4433 -3.2967 -2.6925
-9.1823 0.0043 1.5067
Pr Ho As Pd
1 1 2 5
Cartesian
-4.5911 0.0021 0.7534 Pr
0.0000 0.0000 0.0000 Ho
-1.7307 -0.2834 -2.7690 As
-8.4275 -0.2803 -1.6702 As
-2.6984 -1.6472 -0.9398 Pd
-2.7430 1.3655 -1.2203 Pd
-6.9272 -1.6453 -0.2459 Pd
-6.9719 1.3675 -0.5264 Pd
-5.0791 -0.2819 -2.2196 Pd
```

Properties
- Formation energy: -0.770 eV/atom

# Mg3ScCd

A geometry-optimized Mg3ScCd structure (PBE, the Alexandria database).

```
Mg3ScCd
1.0
5.6860 0.0000 0.0000
0.0000 5.6860 0.0000
0.0000 0.0000 5.6860
Sc Mg Cd
1 3 1
Cartesian
0.0000 0.0000 0.0000 Sc
0.0000 2.8430 0.0000 Mg
0.0000 0.0000 2.8430 Mg
2.8430 0.0000 0.0000 Mg
2.8430 2.8430 2.8430 Cd
```

Properties
- Energy above the most stable polymorph in this dataset: 941 meV per atom
- Formation energy: 0.902 eV/atom

# Ho2NpC

A geometry-optimized Ho2NpC structure (PBE, the Alexandria database).

```
Ho2NpC
1.0
3.4340 0.0000 0.0000
1.7170 2.9739 0.0000
1.7170 0.9913 9.6713
Np C Ho
1 1 2
Cartesian
0.0000 0.0000 0.0000 Np
3.4340 1.9826 4.8357 C
1.7170 0.9913 6.2025 Ho
5.1510 2.9739 3.4689 Ho
```

Properties
- Formation energy: 0.228 eV/atom

# Y2PaNbN6

A geometry-optimized Y2PaNbN6 structure (PBE, the Alexandria database).

```
Y2PaNbN6
1.0
-2.6806 -4.3945 -2.6527
-1.4773 -4.7266 3.0017
-5.7283 -1.0204 1.1589
Y Pa Nb N
2 1 1 6
Cartesian
-4.4804 -5.2860 0.6428 Y
-5.2693 -1.2339 1.0487 Y
-6.6424 -7.9653 0.9455 Pa
-1.7239 -2.8830 0.1975 Nb
-3.3372 -3.6935 -0.7202 N
-3.4128 -5.6468 2.7479 N
-4.9722 -7.3175 -0.5116 N
-6.5817 -5.9385 1.7010 N
-6.3434 -4.2611 -0.5566 N
-5.3477 -3.4110 1.9441 N
```

Properties
- Raw formation energy: -1.050 eV per atom

# Pr2CuOs

A geometry-optimized Pr2CuOs structure (PBE, the Alexandria database).

```
Pr2CuOs
1.0
3.5226 0.0000 0.0000
0.0000 3.5226 0.0000
0.0000 0.0000 7.5094
Pr Os Cu
2 1 1
Cartesian
0.0000 0.0000 5.7386 Pr
0.0000 0.0000 1.7708 Pr
1.7613 1.7613 0.0000 Os
1.7613 1.7613 3.7547 Cu
```

Properties
- Formation energy: -0.002 eV/atom

# PrDyNi4

A geometry-optimized PrDyNi4 structure (PBE, the Alexandria database).

```
PrDyNi4
1.0
-2.9732 -3.5555 -2.2074
0.2229 -4.8773 1.5863
-3.9299 -2.0351 2.6017
Pr Ni Dy
1 4 1
Cartesian
0.0000 0.0000 0.0000 Pr
-2.2183 -5.5228 -0.0555 Ni
-4.2798 -4.1119 0.4486 Ni
-4.1692 -6.5331 1.2361 Ni
-2.6932 -4.7681 2.3319 Ni
-1.6700 -2.6170 0.4951 Dy
```

Properties
- Formation energy: -0.360 eV/atom

Number 1: calculated total energy -51.6 eV per cell, volume 18.94 A^3/atom. Number 2: calculated total energy -7.5 eV per cell, volume 36.77 A^3/atom. Number 3: calculated total energy -30.4 eV per cell, volume 24.69 A^3/atom. Number 4: calculated total energy -93.0 eV per cell, volume 14.23 A^3/atom. Number 5: calculated total energy -24.9 eV per cell, volume 23.30 A^3/atom. Number 6: calculated total energy -34.7 eV per cell, volume 15.94 A^3/atom.